No. 1
# Ti2Sn2H

A relaxed structure of Ti2Sn2H (PBE, the Alexandria database).

Cell and atoms, written as extended XYZ:
```
10
Lattice="-3.8426 -4.6301 0.3377 1.5858 -1.7211 -5.5534 3.4116 -2.6992 1.8107" Properties=species:S:1:pos:R:3 pbc="T T T"
H 0.0000 0.0000 0.0000
H -1.1284 -3.1756 -2.6079
Sn 2.1156 -3.2882 -2.7567
Sn 0.4489 -5.8795 -3.4792
Sn -0.9608 -5.7622 -0.6483
Sn 0.7059 -3.1709 0.0742
Ti 0.0201 -3.0355 -4.5628
Ti -2.1944 -5.0323 -3.3672
Ti -2.2768 -3.3157 -0.6529
Ti -0.0624 -1.3189 -1.8485
```

- calculated density (Mg/m³) = 6.485
- ΔE to the lowest computed polymorph (meV per atom) = 6.1
- total DFT energy (no corrections) (eV/atom) = -5.526

---

No. 2
# Na3UBi3Se8

A relaxed structure of Na3UBi3Se8 (PBE, the Alexandria database).

Cell and atoms, written as extended XYZ:
```
15
Lattice="8.4567 0.0000 0.0000 -4.2284 7.3243 -0.0271 0.0000 -4.8584 7.1539" Properties=species:S:1:pos:R:3 pbc="T T T"
Na 0.0000 0.0000 0.0000
Na -2.1142 3.6622 -0.0135
Na 2.1142 3.6622 -0.0135
U 0.0000 -2.4292 3.5770
Bi 4.2284 -2.4292 3.5770
Bi 2.1142 1.2329 3.5634
Bi -2.1142 1.2329 3.5634
Se 0.0000 2.4473 1.8563
Se 4.2284 0.0186 5.2705
Se 4.2284 2.5370 1.9376
Se 0.0000 -0.0711 5.1892
Se 6.4202 -1.2594 1.9516
Se -2.1918 3.7253 5.1752
Se 2.0366 -1.2594 1.9516
Se 2.1918 3.7253 5.1752
```

- formation energy from raw total energies (meV per atom) = -812
- calculated density (Mg/m³) = 5.882
- total DFT energy (no corrections) (eV/atom) = -4.463

---

No. 3
# PrHoPa

A relaxed structure of PrHoPa (PBE, the Alexandria database).

Cell and atoms, written as extended XYZ:
```
3
Lattice="3.4562 0.0000 0.0000 -1.7281 2.9931 0.0000 0.0000 0.0000 8.7058" Properties=species:S:1:pos:R:3 pbc="T T T"
Pr 0.0000 1.9954 5.9207
Pa 0.0000 0.0000 0.0390
Ho 1.7281 0.9977 2.7461
```

- calculated density (Mg/m³) = 9.899
- formation enthalpy at 0 K (eV/atom) = 0.162
- ΔE to the lowest computed polymorph (meV per atom) = 0.0
- total DFT energy (no corrections) (eV/atom) = -6.123

---

No. 4
# Ce3Mo2C4

A relaxed structure of Ce3Mo2C4 (PBE, the Alexandria database).

Cell and atoms, written as extended XYZ:
```
9
Lattice="-2.7086 -1.5182 -0.9898 3.6362 -4.3126 2.0295 -2.9984 0.9721 6.7142" Properties=species:S:1:pos:R:3 pbc="T T T"
Ce 0.0220 -3.2990 5.0000
Ce 0.0000 0.0000 0.0000
Ce -2.0928 -1.5596 2.7540
Mo 0.7815 -2.6535 1.9316
Mo -2.8523 -2.2051 5.8224
C -0.9450 -2.2062 0.6047
C -1.3031 -0.9134 4.9671
C -0.7677 -3.9452 2.7869
C -1.1258 -2.6524 7.1493
```

- calculated density (Mg/m³) = 7.866
- formation enthalpy at 0 K (eV/atom) = -0.107
- total DFT energy (no corrections) (eV/atom) = -8.591

---

No. 5
# CePPd4

A relaxed structure of CePPd4 (PBE, the Alexandria database).

Cell and atoms, written as extended XYZ:
```
12
Lattice="4.0336 0.0000 0.0000 0.0000 6.8617 0.0000 0.0000 0.0000 7.4867" Properties=species:S:1:pos:R:3 pbc="T T T"
Ce 0.0000 4.2931 5.6150
Ce 0.0000 2.5686 1.8717
P 0.0000 1.4997 5.6150
P 0.0000 5.3620 1.8717
Pd 0.0000 0.0000 3.7433
Pd 0.0000 0.0000 0.0000
Pd 2.0168 6.4108 5.6150
Pd 2.0168 0.4509 1.8717
Pd 2.0168 4.7623 0.4371
Pd 2.0168 2.0994 7.0496
Pd 2.0168 4.7623 3.3062
Pd 2.0168 2.0994 4.1805
```

- calculated density (Mg/m³) = 9.565
- formation enthalpy at 0 K (eV/atom) = -0.661
- total DFT energy (no corrections) (eV/atom) = -6.013

---

No. 6
# Be2HgBr

A relaxed structure of Be2HgBr (PBE, the Alexandria database).

Cell and atoms, written as extended XYZ:
```
4
Lattice="-0.5806 -2.3812 2.5013 3.1638 1.0337 -1.0889 0.0063 6.1722 5.8773" Properties=species:S:1:pos:R:3 pbc="T T T"
Be 0.0002 0.2414 0.2299
Be 1.2931 0.7657 2.0769
Hg 1.2967 4.3759 5.5146
Br 0.0026 2.5277 2.4069
```

- formation energy from raw total energies (meV per atom) = 395
- calculated density (Mg/m³) = 5.785
- ΔE to the lowest computed polymorph (meV per atom) = 206.9
- total DFT energy (no corrections) (eV/atom) = -1.961

---

No. 7
# TlMoRu

A relaxed structure of TlMoRu (PBE, the Alexandria database).

Cell and atoms, written as extended XYZ:
```
3
Lattice="-4.3997 2.7562 0.3183 -3.4157 -0.2817 3.9127 4.9439 0.8101 -1.3989" Properties=species:S:1:pos:R:3 pbc="T T T"
Mo -0.1390 0.0440 0.0753
Ru -5.0832 1.6094 2.7519
Tl -2.5932 0.8211 1.4039
```

- calculated density (Mg/m³) = 12.837
- formation enthalpy at 0 K (eV/atom) = 0.502
- ΔE to the lowest computed polymorph (meV per atom) = 140.8
- total DFT energy (no corrections) (eV/atom) = -6.989

---

No. 8
# Ho4TmSc5

A relaxed structure of Ho4TmSc5 (PBE, the Alexandria database).

Cell and atoms, written as extended XYZ:
```
10
Lattice="5.1628 0.0000 -1.2509 -1.0587 10.3883 -4.3696 -0.9935 -3.4041 7.1794" Properties=species:S:1:pos:R:3 pbc="T T T"
Ho 1.0699 -1.1961 4.4160
Ho -0.0092 3.0536 -0.0377
Ho 2.0407 8.1803 -2.8571
Ho 3.1198 3.9306 1.5966
Tm 0.5292 6.9842 2.1843
Sc 3.3742 0.7034 2.6466
Sc 2.7193 6.9377 -0.0561
Sc 0.3913 0.0465 1.6150
Sc 1.0586 1.7901 4.3691
Sc -0.2636 6.2809 -1.0878
```

- calculated density (Mg/m³) = 6.015
- formation enthalpy at 0 K (eV/atom) = 0.253
- ΔE to the lowest computed polymorph (meV per atom) = 0.0
- total DFT energy (no corrections) (eV/atom) = -5.191